[1]
AgAuN2: relaxed, PBE.

SG: No. 225
final energy: -3.7849 eV/atom
relative energy among the computed polymorphs: 1638 meV per atom
raw formation energy: 1.910 eV/atom
spin magnetization: 0.00 μB/cell

Unit cell a=4.084 b=4.084 c=4.084 alpha=60.00 beta=60.00 gamma=60.00
Positions (direct):
N1 0.250 0.250 0.250
N2 0.750 0.750 0.750
Au1 0.500 0.500 0.500
Ag1 0.000 0.000 0.000


[2]
Pr2Nd3Tm: relaxed, PBE.

SG: No. 58
final energy: -4.4801 eV/atom
relative energy among the computed polymorphs: 185 meV per atom
energy of formation from the pure elements: 0.242 eV per atom
spin magnetization: 0.00 μB/cell

Unit cell a=3.443 b=6.850 c=17.962 alpha=90.00 beta=90.00 gamma=90.00
Positions (direct):
Tm1 0.500 0.500 0.000
Tm2 0.000 0.000 0.500
Pr1 0.500 0.237 0.849
Pr2 0.500 0.763 0.151
Pr3 0.000 0.737 0.651
Pr4 0.000 0.263 0.349
Nd1 0.000 0.756 0.323
Nd2 0.000 0.244 0.677
Nd3 0.500 0.256 0.177
Nd4 0.500 0.500 0.500
Nd5 0.000 0.000 0.000
Nd6 0.500 0.744 0.823


[3]
NbGaMo: relaxed, PBE.

SG: No. 2
final energy: -8.1021 eV/atom
relative energy among the computed polymorphs: 69 meV per atom
energy of formation from the pure elements: -0.126 eV per atom
spin magnetization: 0.00 μB/cell

Unit cell a=2.801 b=5.454 c=6.966 alpha=97.54 beta=103.98 gamma=102.09
Positions (direct):
Mo1 0.758 0.087 0.831
Mo2 0.242 0.913 0.169
Ga1 0.290 0.243 0.502
Ga2 0.710 0.757 0.498
Nb1 0.244 0.586 0.823
Nb2 0.756 0.414 0.177


[4]
ZrCoIr3: relaxed, PBE.

SG: No. 221
final energy: -6.3556 eV/atom
relative energy among the computed polymorphs: 1439 meV per atom
energy of formation from the pure elements: 2.092 eV per atom
spin magnetization: 0.22 μB/cell

Unit cell a=4.817 b=4.817 c=4.817 alpha=90.00 beta=90.00 gamma=90.00
Site moments in Bohr magnetons follow the coordinates.
Positions (direct):
Ir1 0.000 0.000 0.500  -0.02
Ir2 0.000 0.500 0.000  -0.06
Ir3 0.500 0.000 0.000  -0.09
Co1 0.500 0.500 0.500  -0.09
Zr1 0.000 0.000 0.000  0.01


[5]
LaV3Tc: relaxed, PBE.

SG: No. 221
final energy: -6.6188 eV/atom
relative energy among the computed polymorphs: 1328 meV per atom
energy of formation from the pure elements: 1.911 eV per atom
spin magnetization: 1.44 μB/cell

Unit cell a=4.513 b=4.513 c=4.513 alpha=90.00 beta=90.00 gamma=90.00
Site moments in Bohr magnetons follow the coordinates.
Positions (direct):
La1 0.000 0.000 0.000  -0.03
V1 0.000 0.500 0.000  0.06
V2 0.500 0.000 0.000  0.06
V3 0.000 0.000 0.500  0.06
Tc1 0.500 0.500 0.500  -1.46


[6]
CoPH: relaxed, PBE.

SG: No. 44
final energy: -5.3791 eV/atom
relative energy among the computed polymorphs: 0 meV per atom
spin magnetization: 0.00 μB/cell

Unit cell a=2.999 b=2.780 c=6.812 alpha=90.00 beta=90.00 gamma=90.00
Positions (direct):
Co1 0.500 0.000 0.309
Co2 0.000 0.500 0.809
H1 0.500 0.500 0.725
H2 0.000 0.000 0.225
P1 0.000 0.000 0.554
P2 0.500 0.500 0.054